Computed, not measured: a relaxed structure of MnSb2PtI at the PBE-GGA level of DFT.

abc: 4.989 4.989 5.067
angles: 90.00 90.00 90.00
Atoms (fractional coordinates):
Mn1 0.000 0.000 0.000
Sb1 0.000 0.500 0.000
Sb2 0.500 0.000 0.000
Pt1 0.500 0.500 0.500
I1 0.000 0.000 0.500

Results
Its uncorrected formation energy is 738 meV per atom. As for the polymorph energy (0 for the lowest one): 81 meV per atom. The density of states at the Fermi level is 0.79 states/eV per atom.